1.
Here is a relaxed BaC6 crystal from the Alexandria database. Energies are from PBE.

Output
M_tot: 0.8 Bohr magnetons per cell
Formation enthalpy at 0 K: -0.074 eV/atom
Symmetry: P6_3/mmc (194)

```
BaC6
1.0
-2.7794 2.3715 -2.3354
-1.4905 -2.7943 2.9621
0.3311 7.7767 7.5028
C Ba
12 2
direct
0.0000 0.3334 0.5000 C
0.3334 0.0000 0.0000 C
0.6666 0.6666 0.5000 C
0.3334 0.0000 0.5000 C
0.3334 0.3334 0.5000 C
0.6666 0.0000 0.5000 C
0.6666 0.0000 0.0000 C
0.0000 0.6666 0.0000 C
0.6666 0.6666 0.0000 C
0.0000 0.6666 0.5000 C
0.3334 0.3334 0.0000 C
0.0000 0.3334 0.0000 C
0.3333 0.6667 0.2500 Ba
0.6667 0.3333 0.7500 Ba
```


2.
Here is a relaxed HfAlFe crystal from the Alexandria database. Energies are from PBE.

Output
M_tot: 2.5 Bohr magnetons per cell
Formation enthalpy at 0 K: -0.424 eV/atom
Symmetry: Imma (74)

```
HfAlFe
1.0
4.4327 0.0060 -2.4234
-2.9143 4.1233 -0.1644
0.0469 -0.0060 5.0517
Fe Hf Al
2 2 2
direct
0.0000 0.5000 0.5000 Fe
0.5000 0.0000 0.5000 Fe
0.2500 0.1153 0.8653 Hf
0.7500 0.8847 0.1347 Hf
0.0000 0.5000 0.0000 Al
0.5000 0.5000 0.5000 Al
```


3.
Here is a relaxed NaSr4Li2 crystal from the Alexandria database. Energies are from PBE.

Output
M_tot: 0.0 Bohr magnetons per cell
Formation enthalpy at 0 K: 0.301 eV/atom
Symmetry: I4/mmm (139)
Energy above the lowest structure with this stoichiometry: 218.4 meV/atom

```
NaSr4Li2
1.0
-3.6653 1.0826 5.2365
3.0441 -4.7970 3.1225
5.3670 3.5984 7.0256
Na Sr Li
1 4 2
direct
0.0000 0.0000 0.0000 Na
0.7927 0.7927 0.4145 Sr
0.0000 0.5000 0.0000 Sr
0.2073 0.2073 0.5855 Sr
0.5000 0.0000 0.0000 Sr
0.5894 0.5894 0.8212 Li
0.4106 0.4106 0.1788 Li
```


4.
Here is a relaxed ErMgAg crystal from the Alexandria database. Energies are from PBE.

Output
M_tot: 0.0 Bohr magnetons per cell
Formation enthalpy at 0 K: -0.182 eV/atom
Symmetry: I4mm (107)

```
ErMgAg
1.0
-2.3492 -2.5111 0.3370
2.5309 -2.3474 0.1512
0.1095 3.0173 5.5338
Er Ag Mg
1 1 1
direct
0.2955 0.2955 0.5910 Er
0.9604 0.9604 0.9208 Ag
0.5941 0.5941 0.1881 Mg
```


5.
Here is a relaxed TlSbC3 crystal from the Alexandria database. Energies are from PBE.

Output
M_tot: 1.9 Bohr magnetons per cell
Symmetry: Pm-3m (221)
Energy above the lowest structure with this stoichiometry: 566.6 meV/atom
Energy relative to the elements, uncorrected: 3304 meV per atom

```
TlSbC3
1.0
-0.5880 -0.4356 -4.3756
-1.0735 -4.2668 0.5691
-4.2642 1.1342 0.4601
Sb C Tl
1 3 1
direct
0.5000 0.5000 0.5000 Sb
0.5000 0.0000 0.0000 C
0.0000 0.5000 0.0000 C
0.0000 0.0000 0.5000 C
0.0000 0.0000 0.0000 Tl
```